The following is a GGA-PBE calculation of a relaxed structure of MgMoAs2Se, from Alexandria.

- Volume: 24.331 A^3/atom
- E_form (uncorrected): 0.24 eV per atom

Lattice parameters (Å, degrees): 4.8257 4.8257 5.2241 90.00 90.00 90.00
Space group P4/mmm (No. 123)
Symmetry-distinct sites (fractional):
Mg1 0.0000 0.0000 0.0000 x1
Mo1 0.5000 0.5000 0.5000 x1
As1 0.0000 0.5000 0.5000 x2
Se1 0.5000 0.5000 0.0000 x1



The following is a GGA-PBE calculation of a relaxed structure of BaCa2As, from Alexandria.

- Volume: 36.253 A^3/atom
- Formation enthalpy at 0 K: -0.5387 eV/atom

Lattice parameters (Å, degrees): 4.0942 4.0942 8.6509 90.00 90.00 90.00
Space group P4mm (No. 99)
Symmetry-distinct sites (fractional):
Ba1 0.0000 0.0000 0.0000 x1
Ca1 0.0000 0.0000 0.6260 x1
Ca2 0.5000 0.5000 0.3619 x1
As1 0.5000 0.5000 0.7395 x1



The following is a GGA-PBE calculation of a relaxed structure of YRhF2, from Alexandria.

- Volume: 15.484 A^3/atom
- E_form (uncorrected): -1.90 eV per atom

Lattice parameters (Å, degrees): 4.0150 4.0150 15.3691 90.00 90.00 90.00
Space group I-42d (No. 122)
Symmetry-distinct sites (fractional):
Y1 0.0000 0.0000 0.0000 x4
Rh1 0.0000 0.0000 0.5000 x4
F1 0.2265 0.2500 0.1250 x8



no.,final energy (eV/f.u.)
1,-23.986
2,-12.730
3,-25.148